Density functional theory data (GGA-PBE) for crystalline SrIn8Pt2 at its relaxed geometry.

Properties
* formation enthalpy at 0 K: -1.68 eV per formula unit
* magnetic moment: 0.000 μB per atom
* space group: P4/mmm
* total energy: -3.40 eV per atom
* Fermi-level density of states: 0.51 states/eV per atom

Cell lengths 6.397, 6.397, 8.659 Å; angles 90.00, 90.00, 90.00 degrees
Element x y z (fractional)
1 Pt 0.000 0.500 0.000
2 Pt 0.500 0.000 0.000
3 In 0.247 0.247 0.193
4 In 0.753 0.247 0.807
5 In 0.247 0.247 0.807
6 In 0.247 0.753 0.807
7 In 0.753 0.753 0.807
8 In 0.753 0.247 0.193
9 In 0.753 0.753 0.193
10 In 0.247 0.753 0.193
11 Sr 0.500 0.500 0.500

Density functional theory data (GGA-PBE) for crystalline SrIn5Pt3 at its relaxed geometry.

Properties
* formation enthalpy at 0 K: -4.37 eV per formula unit
* magnetic moment: 0.000 μB per atom
* space group: Cmcm
* total energy: -4.21 eV per atom
* Fermi-level density of states: 0.30 states/eV per atom

Cell lengths 4.344, 7.409, 14.115 Å; angles 90.00, 90.00, 107.04 degrees
Element x y z (fractional)
1 In 0.552 0.104 0.651
2 In 0.204 0.409 0.931
3 In 0.000 0.000 0.500
4 In 0.796 0.591 0.431
5 In 0.000 0.000 0.000
6 In 0.204 0.409 0.569
7 In 0.796 0.591 0.069
8 In 0.448 0.896 0.349
9 In 0.552 0.104 0.849
10 In 0.448 0.896 0.151
11 Pt 0.868 0.735 0.250
12 Pt 0.389 0.778 0.540
13 Pt 0.132 0.265 0.750
14 Pt 0.611 0.222 0.460
15 Pt 0.389 0.778 0.960
16 Pt 0.611 0.222 0.040
17 Sr 0.831 0.661 0.750
18 Sr 0.169 0.339 0.250

Density functional theory data (GGA-PBE) for crystalline Sr3In2Pt2 at its relaxed geometry.

Properties
* formation enthalpy at 0 K: -5.03 eV per formula unit
* magnetic moment: 0.000 μB per atom
* space group: Pbcm
* total energy: -3.95 eV per atom
* Fermi-level density of states: 0.48 states/eV per atom

Cell lengths 6.256, 8.441, 15.009 Å; angles 90.00, 90.00, 90.00 degrees
Element x y z (fractional)
1 In 0.869 0.100 0.750
2 In 0.131 0.600 0.750
3 In 0.869 0.400 0.250
4 In 0.368 0.250 0.500
5 In 0.632 0.750 0.000
6 In 0.368 0.250 0.000
7 In 0.131 0.900 0.250
8 In 0.632 0.750 0.500
9 Sr 0.846 0.399 0.593
10 Sr 0.846 0.399 0.907
11 Sr 0.154 0.601 0.093
12 Sr 0.846 0.101 0.407
13 Sr 0.846 0.101 0.093
14 Sr 0.622 0.748 0.250
15 Sr 0.378 0.252 0.750
16 Sr 0.622 0.752 0.750
17 Sr 0.378 0.248 0.250
18 Sr 0.154 0.899 0.593
19 Sr 0.154 0.601 0.407
20 Sr 0.154 0.899 0.907
21 Pt 0.362 0.537 0.596
22 Pt 0.362 0.963 0.096
23 Pt 0.638 0.037 0.596
24 Pt 0.362 0.537 0.904
25 Pt 0.638 0.037 0.904
26 Pt 0.362 0.963 0.404
27 Pt 0.638 0.463 0.404
28 Pt 0.638 0.463 0.096

Density functional theory data (GGA-PBE) for crystalline Sr2InPt at its relaxed geometry.

Properties
* formation enthalpy at 0 K: -1.10 eV per formula unit
* magnetic moment: 0.000 μB per atom
* space group: P4mm
* total energy: -3.31 eV per atom
* Fermi-level density of states: 0.66 states/eV per atom

Cell lengths 4.378, 4.375, 6.897 Å; angles 90.00, 90.00, 90.00 degrees
Element x y z (fractional)
1 Sr 0.500 0.500 0.281
2 Sr 0.000 0.000 0.920
3 Pt 0.500 0.500 0.840
4 In 0.000 0.000 0.460

Copy entry 3 word for word.
Density functional theory data (GGA-PBE) for crystalline Sr3In2Pt2 at its relaxed geometry.

Properties
* formation enthalpy at 0 K: -5.03 eV per formula unit
* magnetic moment: 0.000 μB per atom
* space group: Pbcm
* total energy: -3.95 eV per atom
* Fermi-level density of states: 0.48 states/eV per atom

Cell lengths 6.256, 8.441, 15.009 Å; angles 90.00, 90.00, 90.00 degrees
Element x y z (fractional)
1 In 0.869 0.100 0.750
2 In 0.131 0.600 0.750
3 In 0.869 0.400 0.250
4 In 0.368 0.250 0.500
5 In 0.632 0.750 0.000
6 In 0.368 0.250 0.000
7 In 0.131 0.900 0.250
8 In 0.632 0.750 0.500
9 Sr 0.846 0.399 0.593
10 Sr 0.846 0.399 0.907
11 Sr 0.154 0.601 0.093
12 Sr 0.846 0.101 0.407
13 Sr 0.846 0.101 0.093
14 Sr 0.622 0.748 0.250
15 Sr 0.378 0.252 0.750
16 Sr 0.622 0.752 0.750
17 Sr 0.378 0.248 0.250
18 Sr 0.154 0.899 0.593
19 Sr 0.154 0.601 0.407
20 Sr 0.154 0.899 0.907
21 Pt 0.362 0.537 0.596
22 Pt 0.362 0.963 0.096
23 Pt 0.638 0.037 0.596
24 Pt 0.362 0.537 0.904
25 Pt 0.638 0.037 0.904
26 Pt 0.362 0.963 0.404
27 Pt 0.638 0.463 0.404
28 Pt 0.638 0.463 0.096